<w>
Sc3IrS | meta-GGA SCAN | PBEsol geometry

```
5
Lattice="4.630 0.000 0.000 0.000 4.630 0.000 0.000 0.000 4.630" Properties=species:S:1:pos:R:3 pbc="T T T"
Sc 0.000 0.000 2.315
Sc 0.000 2.315 0.000
Sc 2.315 0.000 0.000
Ir 2.315 2.315 2.315
S 0.000 0.000 0.000
```

SG = Pm-3m (221)

---

<x>
Sc3IrS | meta-GGA SCAN | PBEsol geometry

```
5
Lattice="4.960 0.000 0.000 0.000 4.960 0.000 0.000 0.000 4.960" Properties=species:S:1:pos:R:3 pbc="T T T"
Sc 0.000 0.000 2.480
Sc 0.000 2.480 0.000
Sc 2.480 0.000 0.000
Ir 0.000 0.000 0.000
S 2.480 2.480 2.480
```

SG = Pm-3m (221)

---

Energies relative to the most stable structure are <w> 0; <x> 155, reported in meV per atom.

---

<w>
Tc3IrS | meta-GGA SCAN | PBEsol geometry

```
5
Lattice="4.229 0.000 0.000 0.000 4.229 0.000 0.000 0.000 4.229" Properties=species:S:1:pos:R:3 pbc="T T T"
Tc 0.000 0.000 2.114
Tc 0.000 2.114 0.000
Tc 2.114 0.000 0.000
Ir 2.114 2.114 2.114
S 0.000 0.000 0.000
```

SG = Pm-3m (221)

---

<x>
Tc3IrS | meta-GGA SCAN | PBEsol geometry

```
5
Lattice="4.651 0.000 0.000 0.000 4.651 0.000 0.000 0.000 4.651" Properties=species:S:1:pos:R:3 pbc="T T T"
Tc 0.000 0.000 2.325
Tc 0.000 2.325 0.000
Tc 2.325 0.000 0.000
Ir 0.000 0.000 0.000
S 2.325 2.325 2.325
```

SG = Pm-3m (221)

---

Energies relative to the most stable structure are <w> 0; <x> 1190, reported in meV per atom.